Density functional theory data (PBE-GGA) for an optimized crystal structure of Zn8Ag2Pd.

The calculation puts the final energy at -1.95 eV/atom. As for the formation energy: -28 meV/atom. Its total magnetization is 0.000 Bohr magnetons per cell.

It has space group C2/m (No. 12), with a = 6.8270 Å, b = 12.6452 Å, c = 4.5427 Å, α = 90.00°, β = 114.41° and γ = 90.00°. The inequivalent atoms are Zn at (0.0000, 0.2027, 0.0000), Zn at (0.0902, 0.5000, 0.7964), Zn at (0.2064, 0.1064, 0.6615), Ag at (0.0000, 0.3039, 0.5000) and Pd at (0.0000, 0.0000, 0.0000).